A geometry-optimized YReIr2 structure, computed with PBE.

Calculated values
The value obtained for the density of states at the Fermi level is 41.5 states/eV per cell. As for the raw total energy: -8.973 eV/atom. Its energy above the most stable polymorph in this dataset is 429 meV per atom. Its calculated formation energy is 0.186 eV per atom.

a b c (Å): 6.5425 6.5425 6.5425
angles (deg): 90.00 90.00 90.00
Closest atoms and distances in Å follow each position.
Space group Fm-3m (No. 225)
Symmetry-distinct sites (fractional):
Y 0.0000 0.0000 0.0000 [4 per cell]  8 Ir 2.83
Re 0.0000 0.0000 0.5000 [4 per cell]  8 Ir 2.83
Ir 0.2500 0.2500 0.2500 [8 per cell]  4 Re 2.83, 4 Y 2.83

A geometry-optimized YReIr2 structure, computed with PBE.

Calculated values
The value obtained for the density of states at the Fermi level is 7.4 states/eV per cell. As for the raw total energy: -9.291 eV/atom. Its energy above the most stable polymorph in this dataset is 112 meV per atom. Its calculated formation energy is -0.132 eV per atom.

a b c (Å): 5.8756 7.8195 2.9129
angles (deg): 90.00 90.00 90.00
Closest atoms and distances in Å follow each position.
Space group Cmmm (No. 65)
Symmetry-distinct sites (fractional):
Y 0.0000 0.0000 0.0000 [2 per cell]  8 Ir 2.85, 2 Y 2.91, 2 Re 2.94
Re 0.0000 0.5000 0.0000 [2 per cell]  8 Ir 2.85, 2 Re 2.91, 2 Y 2.94
Ir 0.2500 0.2500 0.5000 [4 per cell]  4 Re 2.85, 4 Y 2.85, 4 Ir 2.91-2.94

A geometry-optimized Y2ReIr structure, computed with PBE.

Calculated values
The value obtained for the density of states at the Fermi level is 5.4 states/eV per cell. As for the raw total energy: -8.661 eV/atom. Its calculated formation energy is -0.101 eV per atom.

a b c (Å): 4.9022 4.9022 3.3841
angles (deg): 90.00 90.00 90.00
Closest atoms and distances in Å follow each position.
Space group P4/mmm (No. 123)
Symmetry-distinct sites (fractional):
Y 0.0000 0.5000 0.0000 [2 per cell]  4 Re 2.98, 4 Ir 2.98
Re 0.0000 0.0000 0.5000 [1 per cell]  8 Y 2.98
Ir 0.5000 0.5000 0.5000 [1 per cell]  8 Y 2.98

A geometry-optimized YReIr2 structure, computed with PBE.

Calculated values
The value obtained for the density of states at the Fermi level is 15.2 states/eV per cell. As for the raw total energy: -8.837 eV/atom. Its energy above the most stable polymorph in this dataset is 565 meV per atom. Its calculated formation energy is 0.321 eV per atom.

a b c (Å): 2.8654 2.8654 28.6304
angles (deg): 90.00 90.00 120.00
Closest atoms and distances in Å follow each position.
Space group R3m (No. 160, hexagonal axes)
Symmetry-distinct sites (fractional):
Y 0.0000 0.0000 0.0000 [3 per cell]  6 Y 2.87, 3 Ir 2.99, 3 Re 3.16
Re 0.0000 0.0000 0.2391 [3 per cell]  3 Ir 2.64, 6 Re 2.87
Ir 0.0000 0.0000 0.5007 [3 per cell]  3 Re 2.64, 9 Ir 2.83-2.87
Ir 0.0000 0.0000 0.7537 [3 per cell]  9 Ir 2.83-2.87, 3 Y 2.99

A geometry-optimized Y2ReIr structure, computed with PBE.

Calculated values
The value obtained for the density of states at the Fermi level is 5.8 states/eV per cell. As for the raw total energy: -8.316 eV/atom. Its calculated formation energy is 0.244 eV per atom.

a b c (Å): 9.1154 3.1466 5.8036
angles (deg): 90.00 100.12 90.00
Closest atoms and distances in Å follow each position.
Space group C2/m (No. 12)
Symmetry-distinct sites (fractional):
Y 0.2479 0.0000 0.2487 [4 per cell]  3 Re 2.90-2.95, 3 Ir 2.92, 2 Y 3.15
Re 0.0000 0.0000 0.5000 [2 per cell]  6 Y 2.90-2.95, 2 Re 3.15
Ir 0.0000 0.5000 0.0000 [2 per cell]  6 Y 2.92, 2 Ir 3.15

A geometry-optimized YReIr2 structure, computed with PBE.

Calculated values
The value obtained for the density of states at the Fermi level is 4.3 states/eV per cell. As for the raw total energy: -9.402 eV/atom. Its energy above the most stable polymorph in this dataset is 0 meV per atom. Its calculated formation energy is -0.244 eV per atom.

a b c (Å): 2.9148 2.9148 7.9890
angles (deg): 90.00 90.00 90.00
Closest atoms and distances in Å follow each position.
Space group P4/mmm (No. 123)
Symmetry-distinct sites (fractional):
Y 0.0000 0.0000 0.0000 [1 per cell]  4 Y 2.91, 8 Ir 3.05
Re 0.0000 0.0000 0.5000 [1 per cell]  8 Ir 2.70, 4 Re 2.91
Ir 0.5000 0.5000 0.2814 [2 per cell]  4 Re 2.70, 4 Ir 2.91

A geometry-optimized YReIr2 structure, computed with PBE.

Calculated values
The value obtained for the density of states at the Fermi level is 4.0 states/eV per cell. As for the raw total energy: -9.307 eV/atom. Its energy above the most stable polymorph in this dataset is 95 meV per atom. Its calculated formation energy is -0.149 eV per atom.

a b c (Å): 2.8784 3.8542 6.2252
angles (deg): 90.00 90.00 90.00
Closest atoms and distances in Å follow each position.
Space group Pmmm (No. 47)
Symmetry-distinct sites (fractional):
Y 0.0000 0.0000 0.0000 [1 per cell]  2 Y 2.88, 8 Ir 3.00, 2 Re 3.11
Re 0.0000 0.0000 0.5000 [1 per cell]  8 Ir 2.74, 2 Re 2.88
Ir 0.5000 0.5000 0.2882 [2 per cell]  3 Ir 2.64-2.88, 4 Re 2.74

A geometry-optimized YReIr2 structure, computed with PBE.

Calculated values
The value obtained for the density of states at the Fermi level is 12.6 states/eV per cell. As for the raw total energy: -8.794 eV/atom. Its energy above the most stable polymorph in this dataset is 608 meV per atom. Its calculated formation energy is 0.364 eV per atom.

a b c (Å): 4.7369 4.7369 16.5942
angles (deg): 90.00 90.00 90.00
Closest atoms and distances in Å follow each position.
Space group I-42d (No. 122)
Symmetry-distinct sites (fractional):
Y 0.0000 0.0000 0.0000 [4 per cell]  4 Ir 3.05, 4 Re 3.35
Re 0.0000 0.0000 0.5000 [4 per cell]  4 Ir 2.44
Ir 0.1007 0.2500 0.6250 [8 per cell]  2 Re 2.44, 2 Ir 2.55

A geometry-optimized Y2ReIr structure, computed with PBE.

Calculated values
The value obtained for the density of states at the Fermi level is 4.4 states/eV per cell. As for the raw total energy: -8.672 eV/atom. Its calculated formation energy is -0.112 eV per atom.

a b c (Å): 3.4082 3.4402 6.9592
angles (deg): 90.00 90.00 90.00
Closest atoms and distances in Å follow each position.
Space group Pmmm (No. 47)
Symmetry-distinct sites (fractional):
Y 0.0000 0.0000 0.2475 [2 per cell]  4 Ir 2.97, 4 Re 2.99
Re 0.5000 0.5000 0.5000 [1 per cell]  8 Y 2.99
Ir 0.5000 0.5000 0.0000 [1 per cell]  8 Y 2.97

A geometry-optimized YReIr2 structure, computed with PBE.

Calculated values
The value obtained for the density of states at the Fermi level is 7.8 states/eV per cell. As for the raw total energy: -9.116 eV/atom. Its energy above the most stable polymorph in this dataset is 287 meV per atom. Its calculated formation energy is 0.043 eV per atom.

a b c (Å): 4.0192 4.0192 8.4229
angles (deg): 90.00 90.00 90.00
Closest atoms and distances in Å follow each position.
Space group I-4m2 (No. 119)
Symmetry-distinct sites (fractional):
Y 0.0000 0.0000 0.0000 [2 per cell]  8 Ir 2.84-2.91, 4 Re 2.91
Re 0.0000 0.5000 0.7500 [2 per cell]  8 Ir 2.84-2.91, 4 Y 2.91
Ir 0.0000 0.0000 0.5000 [2 per cell]  4 Y 2.84, 4 Re 2.91, 4 Ir 2.91
Ir 0.0000 0.5000 0.2500 [2 per cell]  4 Re 2.84, 4 Ir 2.91, 4 Y 2.91

A geometry-optimized YReIr structure, computed with PBE.

Calculated values
The value obtained for the density of states at the Fermi level is 8.8 states/eV per cell. As for the raw total energy: -9.333 eV/atom. Its energy above the most stable polymorph in this dataset is 0 meV per atom. Its calculated formation energy is -0.075 eV per atom.

a b c (Å): 2.9586 2.9586 12.5380
angles (deg): 90.00 90.00 90.00
Closest atoms and distances in Å follow each position.
Space group I4mm (No. 107)
Symmetry-distinct sites (fractional):
Y 0.0000 0.0000 0.0000 [2 per cell]  4 Y 2.96, 4 Ir 3.13, 4 Re 3.14
Re 0.0000 0.0000 0.6867 [2 per cell]  4 Ir 2.64
Ir 0.0000 0.0000 0.3147 [2 per cell]  4 Re 2.64

A geometry-optimized YRe2Ir structure, computed with PBE.

Calculated values
The value obtained for the density of states at the Fermi level is 10.2 states/eV per cell. As for the raw total energy: -9.753 eV/atom. Its energy above the most stable polymorph in this dataset is 282 meV per atom. Its calculated formation energy is 0.302 eV per atom.

a b c (Å): 3.9278 3.9278 8.9855
angles (deg): 90.00 90.00 90.00
Closest atoms and distances in Å follow each position.
Space group I4/mmm (No. 139)
Symmetry-distinct sites (fractional):
Y 0.0000 0.0000 0.0000 [2 per cell]  4 Ir 2.78, 8 Re 2.98
Re 0.0000 0.5000 0.2500 [4 per cell]  4 Re 2.78, 4 Ir 2.98, 4 Y 2.98
Ir 0.0000 0.0000 0.5000 [2 per cell]  4 Y 2.78, 8 Re 2.98